Record 1
A plane-wave DFT calculation with PBE was carried out for a relaxed Sr2ScPbO crystal.

Density (kg/m3): 5779
V (Å³ per atom): 25.48
Size of the total moment (μB per cell): 0.7
E_form (uncorrected) (eV per atom): -1.283
Crystal system: tetragonal
DOS(E_F) (states/eV/f.u.): 4.33

Lattice parameters (Å, degrees): 5.379 5.379 4.403 90.00 90.00 90.00
Element x y z (fractional)
Sr 0.000 0.500 0.000
Sr 0.500 0.000 0.000
Sc 0.000 0.000 0.500
Pb 0.500 0.500 0.500
O 0.000 0.000 0.000



Record 2
A plane-wave DFT calculation with PBE was carried out for a relaxed Zn2InAg7Sn2 crystal.

Density (kg/m3): 8725
V (Å³ per atom): 19.64
Size of the total moment (μB per cell): 0.0
Crystal system: monoclinic
Calculated formation energy (eV/atom): 0.039
DOS(E_F) (states/eV/f.u.): 3.67

Lattice parameters (Å, degrees): 4.232 4.232 13.172 90.18 90.18 92.41
Element x y z (fractional)
Zn 0.000 0.000 0.185
Zn 0.000 0.000 0.815
In 0.500 0.500 0.500
Ag 0.000 0.000 0.500
Ag 0.001 0.501 0.663
Ag 0.237 0.237 0.000
Ag 0.499 0.999 0.337
Ag 0.501 0.001 0.663
Ag 0.763 0.763 0.000
Ag 0.999 0.499 0.337
Sn 0.499 0.499 0.179
Sn 0.501 0.501 0.821



Record 3
A plane-wave DFT calculation with PBE was carried out for a relaxed ThSi2Mo2 crystal.

Density (kg/m3): 8384
ΔE to the lowest computed polymorph (meV/atom): 0
V (Å³ per atom): 19.02
Size of the total moment (μB per cell): 0.0
E_form (uncorrected) (eV per atom): -0.408
Crystal system: orthorhombic
DOS(E_F) (states/eV/f.u.): 3.47

Lattice parameters (Å, degrees): 10.619 10.619 10.619 156.76 156.25 33.47
Element x y z (fractional)
Th 0.409 0.159 0.250
Th 0.591 0.841 0.750
Si 0.027 0.277 0.750
Si 0.145 0.395 0.750
Si 0.855 0.605 0.250
Si 0.973 0.723 0.250
Mo 0.214 0.964 0.250
Mo 0.288 0.538 0.750
Mo 0.712 0.462 0.250
Mo 0.786 0.036 0.750